# 1
This record from OQMD via LeMat-Bulk describes a relaxed ZnIr2Se2S2 crystal. The functional is PBE-GGA.

M_tot: 0.000 μB per atom

Lattice parameters (Å, degrees): 6.157 6.157 5.242 114.69 114.69 102.58
Atoms (fractional coordinates):
S (0.637, 0.925, 0.058)
Zn (0.002, 0.998, 0.000)
S (0.075, 0.363, 0.942)
Se (0.407, 0.132, 0.536)
Ir (0.470, 0.530, 0.000)
Ir (0.291, 0.709, 0.500)
Se (0.868, 0.593, 0.464)

# 2
This record from OQMD via LeMat-Bulk describes a relaxed BaAgGe crystal. The functional is PBE-GGA.

Lattice parameters (Å, degrees): 5.119 5.119 5.119 60.00 60.00 60.00
Atoms (fractional coordinates):
Ge (0.750, 0.750, 0.750)
Ag (0.000, 0.000, 0.000)
Ba (0.250, 0.250, 0.250)

no.,DFT total energy (eV per atom),V (Å³/atom)
1,-4.98,20.62
2,-3.19,31.62